KLiSc2 | Alexandria via LeMat-Bulk | PBE | relaxed; SG = Cmm2; M_tot = 1.15 μB per formula unit; ΔE to the lowest computed polymorph = 0 meV/atom
1.0
3.392 0.114 0.000
-0.124 3.391 0.000
0.000 0.000 10.660
K Li Sc
1 1 2
Direct
0.000 0.000 0.508
0.500 0.500 0.798
0.000 0.000 0.000
0.500 0.500 0.194